Entry 1:
The following is a PBE calculation of a relaxed YSe crystal, from Alexandria via LeMat-Bulk.

E_form (uncorrected): -1.462 eV/atom

Lattice parameters (Å, degrees): 11.1447 11.1447 4.2774 90.00 90.00 90.00
Closest atoms and distances in Å follow each position.
Positions (direct):
Y1 0.3807 0.1630 0.0000  4 Se 2.80-2.83
Y2 0.6193 0.8370 0.0000  4 Se 2.80-2.83
Y3 0.8370 0.3807 0.0000  4 Se 2.80-2.83
Y4 0.1630 0.6193 0.0000  4 Se 2.80-2.83
Y5 0.8807 0.6630 0.5000  4 Se 2.80-2.83
Y6 0.1193 0.3370 0.5000  4 Se 2.80-2.83
Y7 0.3370 0.8807 0.5000  4 Se 2.80-2.83
Y8 0.6630 0.1193 0.5000  4 Se 2.80-2.83
Se1 0.3939 0.7260 0.0000  4 Y 2.80-2.83
Se2 0.6061 0.2740 0.0000  4 Y 2.80-2.83
Se3 0.2740 0.3939 0.0000  4 Y 2.80-2.83
Se4 0.7260 0.6061 0.0000  4 Y 2.80-2.83
Se5 0.8939 0.2260 0.5000  4 Y 2.80-2.83
Se6 0.1061 0.7740 0.5000  4 Y 2.80-2.83
Se7 0.7740 0.8939 0.5000  4 Y 2.80-2.83
Se8 0.2260 0.1061 0.5000  4 Y 2.80-2.83

=====

Entry 2:
The following is a PBE calculation of a relaxed CaHf crystal, from Alexandria via LeMat-Bulk.

E_form: 1.295 eV per atom

Lattice parameters (Å, degrees): 9.9171 9.9171 9.9171 90.00 90.00 90.00
Closest atoms and distances in Å follow each position.
Positions (direct):
Ca1 0.2029 0.2029 0.2029  4 Hf 3.33-3.40
Ca2 0.2029 0.7971 0.7971  4 Hf 3.33-3.40
Ca3 0.7971 0.2029 0.7971  4 Hf 3.33-3.40
Ca4 0.7971 0.7971 0.2029  4 Hf 3.33-3.40
Ca5 0.7029 0.7029 0.7029  4 Hf 3.33-3.40
Ca6 0.7029 0.2971 0.2971  4 Hf 3.33-3.40
Ca7 0.2971 0.7029 0.2971  4 Hf 3.33-3.40
Ca8 0.2971 0.2971 0.7029  4 Hf 3.33-3.40
Hf1 0.4012 0.4012 0.4012  3 Hf 2.77
Hf2 0.4012 0.5988 0.5988  3 Hf 2.77
Hf3 0.5988 0.4012 0.5988  3 Hf 2.77
Hf4 0.5988 0.5988 0.4012  3 Hf 2.77
Hf5 0.9012 0.9012 0.9012  3 Hf 2.77
Hf6 0.9012 0.0988 0.0988  3 Hf 2.77
Hf7 0.0988 0.9012 0.0988  3 Hf 2.77
Hf8 0.0988 0.0988 0.9012  3 Hf 2.77

=====

Entry 3:
The following is a PBE calculation of a relaxed KCd2Ir crystal, from Alexandria via LeMat-Bulk.

E_form: 0.393 eV per atom

Lattice parameters (Å, degrees): 10.7432 10.7432 10.7432 16.50 16.50 16.50
Closest atoms and distances in Å follow each position.
Positions (direct):
Cd1 0.9869 0.9869 0.9869  3 Ir 2.85, 6 Cd 3.08
Cd2 0.5131 0.5131 0.5131  3 Ir 2.85, 6 Cd 3.08
Ir1 0.2500 0.2500 0.2500  6 Cd 2.85, 6 Ir 3.08
K1 0.7500 0.7500 0.7500  6 K 3.08

=====

Entry 4:
The following is a PBE calculation of a relaxed TcGePS2 crystal, from Alexandria via LeMat-Bulk.

E_form (uncorrected): 1.083 eV/atom

Lattice parameters (Å, degrees): 4.6501 4.6501 4.7107 90.00 90.00 90.00
Closest atoms and distances in Å follow each position.
Positions (direct):
S1 0.0000 0.5000 0.0000  2 Ge 2.33
S2 0.5000 0.0000 0.0000  2 Ge 2.33
P1 0.0000 0.0000 0.5000  2 Ge 2.36
Ge1 0.0000 0.0000 0.0000  4 S 2.33, 2 P 2.36
Tc1 0.5000 0.5000 0.5000  4 P 3.29, 8 S 3.31

=====

Entry 5:
The following is a PBE calculation of a relaxed LaGdHgPd crystal, from Alexandria via LeMat-Bulk.

E_form: -0.593 eV per atom

Lattice parameters (Å, degrees): 5.2742 5.2742 5.2742 60.00 60.00 60.00
Closest atoms and distances in Å follow each position.
Positions (direct):
Gd1 0.2500 0.2500 0.2500  4 Hg 3.23, 4 Pd 3.23
Hg1 0.5000 0.5000 0.5000  4 Gd 3.23, 4 La 3.23
Pd1 0.0000 0.0000 0.0000  4 La 3.23, 4 Gd 3.23
La1 0.7500 0.7500 0.7500  4 Pd 3.23, 4 Hg 3.23

=====

Entry 6:
The following is a PBE calculation of a relaxed Hg2TePPt crystal, from Alexandria via LeMat-Bulk.

E_form (uncorrected): 1.241 eV/atom

Lattice parameters (Å, degrees): 5.5017 5.0503 5.5017 90.00 90.00 90.00
Closest atoms and distances in Å follow each position.
Positions (direct):
P1 0.0000 0.5000 0.0000  2 Te 2.53
Te1 0.0000 0.0000 0.0000  2 P 2.53, 4 Hg 2.75
Hg1 0.0000 0.0000 0.5000  2 Te 2.75
Hg2 0.5000 0.0000 0.0000  2 Te 2.75
Pt1 0.5000 0.5000 0.5000  8 Hg 3.73, 4 P 3.89

=====

| no. | theoretical density (Mg/m³) |
| --- | --- |
| 1 | 4.2 |
| 2 | 3.0 |
| 3 | 8.7 |
| 4 | 4.3 |
| 5 | 9.7 |
| 6 | 8.2 |